Entry from the Alexandria database: an optimized crystal structure of PmSbI (PBE).

The structure in CIF format:
```
data_PmSbI
_space_group_name_H-M_alt 'I 4 m m'
_space_group_IT_number 107
_space_group_name_Hall 'I 4 -2'
_cell_length_a 3.705
_cell_length_b 3.705
_cell_length_c 15.363
_cell_angle_alpha 90.00
_cell_angle_beta 90.00
_cell_angle_gamma 90.00
loop_
_atom_site_label
_atom_site_type_symbol
_atom_site_fract_x
_atom_site_fract_y
_atom_site_fract_z
Pm1 Pm 0.000 0.000 0.000
Sb1 Sb 0.000 0.000 0.366
I1 I 0.000 0.000 0.632
```

Results
The calculation puts the formation energy (no corrections) at -0.7658 eV/atom. As for the polymorph energy (0 for the lowest one): 12.3 kJ/mol of atoms. The calculation puts the raw total energy at -4.2402 eV/atom.

***

Entry from the Alexandria database: an optimized crystal structure of NdBeNi (PBE).

The structure in CIF format:
```
data_NdBeNi
_space_group_name_H-M_alt 'P -6 m 2'
_space_group_IT_number 187
_space_group_name_Hall 'P -6 2'
_cell_length_a 3.9807
_cell_length_b 3.9807
_cell_length_c 3.9191
_cell_angle_alpha 90.00
_cell_angle_beta 90.00
_cell_angle_gamma 120.00
loop_
_atom_site_label
_atom_site_type_symbol
_atom_site_fract_x
_atom_site_fract_y
_atom_site_fract_z
Nd1 Nd 0.0000 0.0000 0.0000
Be1 Be 0.6667 0.3333 0.5000
Ni1 Ni 0.3333 0.6667 0.5000
```

Results
As for the polymorph energy (0 for the lowest one): 0.0 kJ/mol of atoms. As for the energy of formation: -17.0 kJ/mol of atoms. The calculation puts the raw total energy at -4.9347 eV/atom.